{
  "formula": "NbMoNF2",
  "functional": "PBE with a Hubbard U",
  "state": "optimized geometry",
  "magnetic_moment_mub_per_cell": 6.00,
  "crystal_system": "tetragonal",
  "dos_at_fermi_per_ev_atom": 0.914,
  "relative_energy_mev_per_atom": 577,
  "sg": "P4/mmm (123)",
  "lattice_angstrom": [[-0.3383, -4.1107, 0.1343], [3.6900, -0.3628, -1.8118], [1.9077, -0.0299, 3.8912]],
  "species": ["F", "Mo", "F", "N", "Nb"],
  "frac_coords": [[0.0000, 0.5000, 0.0000], [0.0000, 0.0000, 0.0000], [0.5000, 0.0000, 0.0000], [0.0000, 0.0000, 0.5000], [0.5000, 0.5000, 0.5000]]
}